La3Al2VO9: relaxed, PBE with a Hubbard U.

Cell: 5.439 5.439 6.735 Å, 90.00 90.00 120.00°
Last column: magnetic moment on the atom in μB.
Fractional coordinates of all 15 atoms:
La 0.000 0.000 0.000  0.01
La 0.333 0.667 0.670  0.01
La 0.667 0.333 0.330  0.01
O 0.170 0.341 0.324  0.00
O 0.830 0.170 0.676  0.00
O 0.000 0.500 0.000  0.00
O 0.341 0.170 0.676  0.00
O 0.659 0.830 0.324  0.00
O 0.500 0.000 0.000  0.00
O 0.500 0.500 0.000  0.00
O 0.830 0.659 0.676  0.00
O 0.170 0.830 0.324  0.00
V 0.000 0.000 0.500  1.82
Al 0.333 0.667 0.162  0.00
Al 0.667 0.333 0.838  0.00

Output
Uncorrected energy = -121.06 eV per cell
SG = No. 164